No. 1
First-principles (PBE) data for a relaxed RbZn2In2 crystal, as listed in Alexandria via LeMat-Bulk.

a = 9.094 Å, b = 9.094 Å, c = 3.176 Å
α = 90.00°, β = 90.00°, γ = 90.00°
Fractional coordinates of all 10 atoms:
Zn: 0.154 0.654 0.500
Zn: 0.346 0.154 0.500
Zn: 0.846 0.346 0.500
Zn: 0.654 0.846 0.500
In: 0.132 0.368 0.000
In: 0.868 0.632 0.000
In: 0.368 0.868 0.000
In: 0.632 0.132 0.000
Rb: 0.000 0.000 0.000
Rb: 0.500 0.500 0.000

Computed properties:
SG ... No. 127
Magnetic moment ... 0.00 μB/atom


No. 2
First-principles (PBE) data for a relaxed RbZn2In2 crystal, as listed in Alexandria via LeMat-Bulk.

a = 9.006 Å, b = 9.006 Å, c = 3.233 Å
α = 90.00°, β = 90.00°, γ = 90.00°
Fractional coordinates of all 10 atoms:
In: 0.645 0.855 0.500
In: 0.355 0.145 0.500
In: 0.855 0.355 0.500
In: 0.145 0.645 0.500
Rb: 0.500 0.500 0.000
Rb: 0.000 0.000 0.000
Zn: 0.359 0.859 0.000
Zn: 0.641 0.141 0.000
Zn: 0.141 0.359 0.000
Zn: 0.859 0.641 0.000

Computed properties:
SG ... No. 127
Magnetic moment ... 0.00 μB/atom


Number 1: N(E_F) 2.6 states/eV/f.u., raw total energy -1.71 eV per atom. Number 2: N(E_F) 2.1 states/eV/f.u., raw total energy -1.71 eV per atom.